! NaPtAu | OQMD via LeMat-Bulk | PBE-GGA | relaxed; values from VASP
! VASP energy ... -3.0659 eV per atom
&SYSTEM
  ibrav = 0, nat = 3, ntyp = 3
/
ATOMIC_SPECIES
Na 22.99 Na.upf
Au 196.97 Au.upf
Pt 195.08 Pt.upf
ATOMIC_POSITIONS crystal
Na 0.0000 0.0000 0.0000
Au 0.2500 0.2500 0.2500
Pt 0.7500 0.7500 0.7500
CELL_PARAMETERS angstrom
-1.0661 0.9404 4.1548
-0.3303 4.1849 1.2886
-3.9384 1.7087 0.9233